{
  "formula": "LaCeSmGa",
  "functional": "GGA-PBE",
  "state": "relaxed",
  "dft_energy_ev_per_cell": -18.83,
  "e_form_kj_per_mol_fu": -22,
  "magmom_total_mub_per_cell": 0.000,
  "sg": "F-43m, No. 216",
  "cell": [[-4.279, 1.410, -2.940], [-4.961, -0.735, 1.946], [-2.978, 4.241, 1.446]],
  "species": ["La", "Sm", "Ce", "Ga"],
  "fractional_positions": [[0.250, 0.250, 0.250], [0.750, 0.750, 0.750], [0.500, 0.500, 0.500], [0.000, 0.000, 0.000]]
}